(1)
A relaxed structure of Cd2InOsO6. Source: the Alexandria database, functional PBE.

Values from the calculation:
The formation energy (no corrections) comes out at -1.0971 eV/atom. The calculation puts the total moment at 3.0 μB/f.u.

abc: 5.5555 5.6521 8.0029
angles: 90.00 90.19 90.00
Element x y z (fractional)
Cd (0.0092, 0.9540, 0.2506)
Cd (0.5092, 0.5460, 0.7506)
Cd (0.9908, 0.0460, 0.7494)
Cd (0.4908, 0.4540, 0.2494)
In (0.5000, 0.0000, 0.0000)
In (0.0000, 0.5000, 0.5000)
Os (0.5000, 0.0000, 0.5000)
Os (0.0000, 0.5000, 0.0000)
O (0.2935, 0.6832, 0.0559)
O (0.7935, 0.8168, 0.5559)
O (0.7065, 0.3168, 0.9441)
O (0.2065, 0.1832, 0.4441)
O (0.3225, 0.7086, 0.4362)
O (0.8225, 0.7914, 0.9362)
O (0.6775, 0.2914, 0.5638)
O (0.1775, 0.2086, 0.0638)
O (0.8888, 0.5538, 0.2356)
O (0.3888, 0.9462, 0.7356)
O (0.1112, 0.4462, 0.7644)
O (0.6112, 0.0538, 0.2644)

***

(2)
A relaxed structure of Li2SiSe. Source: the Alexandria database, functional PBE.

Values from the calculation:
The formation energy (no corrections) comes out at -0.2722 eV/atom. The calculation puts the total moment at 0.0 μB/f.u. The value obtained for the distance to the lowest polymorph of the same formula is 203 meV per atom.

abc: 4.9746 2.7365 4.8835
angles: 90.02 90.00 90.00
Element x y z (fractional)
Li (0.0000, 0.1254, 0.9213)
Li (0.5000, 0.1252, 0.3259)
Se (0.0000, 0.6244, 0.4239)
Si (0.5000, 0.6250, 0.8290)

***

(3)
A relaxed structure of Nd2PuGeN5. Source: the Alexandria database, functional PBE.

Values from the calculation:
The formation energy (no corrections) comes out at -0.8748 eV/atom. The calculation puts the total moment at 3.0 μB/f.u.

abc: 3.4205 7.3669 10.4794
angles: 90.00 90.00 103.42
Element x y z (fractional)
Nd (0.8680, 0.7360, 0.8174)
Nd (0.1083, 0.2166, 0.6816)
Nd (0.1320, 0.2640, 0.3174)
Nd (0.8917, 0.7834, 0.1816)
Pu (0.7947, 0.5895, 0.5228)
Pu (0.2053, 0.4105, 0.0228)
Ge (0.5449, 0.0898, 0.9398)
Ge (0.4551, 0.9102, 0.4398)
N (0.3507, 0.7014, 0.0070)
N (0.6781, 0.3562, 0.8819)
N (0.4910, 0.9820, 0.7818)
N (0.2869, 0.5738, 0.6581)
N (0.9580, 0.9161, 0.5336)
N (0.6493, 0.2986, 0.5070)
N (0.3219, 0.6438, 0.3819)
N (0.5090, 0.0180, 0.2818)
N (0.7131, 0.4262, 0.1581)
N (0.0420, 0.0839, 0.0336)

***

(4)
A relaxed structure of Pu2MnCd. Source: the Alexandria database, functional PBE.

Values from the calculation:
The value obtained for the energy of formation is 0.134 eV per atom. The calculation puts the total moment at 8.1 μB/f.u. The value obtained for the distance to the lowest polymorph of the same formula is 128 meV per atom.

abc: 4.5917 4.3840 4.3840
angles: 90.00 90.00 90.00
Element x y z (fractional)
Cd (0.5000, 0.5000, 0.5000)
Mn (0.5000, 0.0000, 0.0000)
Pu (0.0000, 0.0000, 0.5000)
Pu (0.0000, 0.5000, 0.0000)

***

(5)
A relaxed structure of SrLiSn2S4. Source: the Alexandria database, functional PBE.

Values from the calculation:
The formation energy (no corrections) comes out at -0.9741 eV/atom. The calculation puts the total moment at 0.0 μB/f.u.

abc: 4.0519 6.9087 13.8909
angles: 90.00 90.00 107.05
Element x y z (fractional)
Sr (0.1112, 0.2225, 0.7500)
Sr (0.8888, 0.7775, 0.2500)
Li (0.8465, 0.6929, 0.7500)
Li (0.1535, 0.3071, 0.2500)
Sn (0.3685, 0.7369, 0.5574)
Sn (0.6315, 0.2631, 0.0574)
Sn (0.6315, 0.2631, 0.4426)
Sn (0.3685, 0.7369, 0.9426)
S (0.2727, 0.5454, 0.1198)
S (0.7273, 0.4546, 0.6198)
S (0.7273, 0.4546, 0.8802)
S (0.2727, 0.5454, 0.3802)
S (0.0000, 0.0000, 0.5000)
S (0.0000, 0.0000, 0.0000)
S (0.4418, 0.8837, 0.7500)
S (0.5582, 0.1163, 0.2500)

***

(6)
A relaxed structure of Nd2Al9Cu6. Source: the Alexandria database, functional PBE.

Values from the calculation:
The value obtained for the energy of formation is -0.239 eV per atom. The calculation puts the total moment at 0.0 μB/f.u.

abc: 5.3818 5.3818 12.3125
angles: 90.00 90.00 120.00
Element x y z (fractional)
Nd (0.0000, 0.0000, 0.6656)
Nd (0.0000, 0.0000, 0.3344)
Al (0.5000, 0.0000, 0.8378)
Al (0.0000, 0.5000, 0.8378)
Al (0.5000, 0.5000, 0.8378)
Al (0.5000, 0.0000, 0.1622)
Al (0.0000, 0.5000, 0.1622)
Al (0.5000, 0.5000, 0.1622)
Al (0.5000, 0.0000, 0.5000)
Al (0.0000, 0.5000, 0.5000)
Al (0.5000, 0.5000, 0.5000)
Cu (0.3333, 0.6667, 0.0000)
Cu (0.6667, 0.3333, 0.0000)
Cu (0.3333, 0.6667, 0.6687)
Cu (0.6667, 0.3333, 0.6687)
Cu (0.6667, 0.3333, 0.3313)
Cu (0.3333, 0.6667, 0.3313)

***

- What is the formula in the fourth record?
  Pu2MnCd

***

Copy entry 6 word for word.
A relaxed structure of Nd2Al9Cu6. Source: the Alexandria database, functional PBE.

Values from the calculation:
The value obtained for the energy of formation is -0.239 eV per atom. The calculation puts the total moment at 0.0 μB/f.u.

abc: 5.3818 5.3818 12.3125
angles: 90.00 90.00 120.00
Element x y z (fractional)
Nd (0.0000, 0.0000, 0.6656)
Nd (0.0000, 0.0000, 0.3344)
Al (0.5000, 0.0000, 0.8378)
Al (0.0000, 0.5000, 0.8378)
Al (0.5000, 0.5000, 0.8378)
Al (0.5000, 0.0000, 0.1622)
Al (0.0000, 0.5000, 0.1622)
Al (0.5000, 0.5000, 0.1622)
Al (0.5000, 0.0000, 0.5000)
Al (0.0000, 0.5000, 0.5000)
Al (0.5000, 0.5000, 0.5000)
Cu (0.3333, 0.6667, 0.0000)
Cu (0.6667, 0.3333, 0.0000)
Cu (0.3333, 0.6667, 0.6687)
Cu (0.6667, 0.3333, 0.6687)
Cu (0.6667, 0.3333, 0.3313)
Cu (0.3333, 0.6667, 0.3313)

***

- Among the records above, which one has the highest total moment?
  Pu2MnCd